PBE Pr3Zn3Rh2, relaxed; VASP energy = -4.6347 eV per atom; formation energy = -4.2 eV per formula unit; D(E_F) = 0.66 states/eV/atom
1.0
5.7345 0.0000 0.0000
0.0000 7.7326 0.0000
0.0000 0.0000 16.0805
Pr Zn Rh
12 12 8
Cartesian
0.6492 3.5755 6.3568
3.5165 0.2908 9.7237
5.0853 4.1571 14.3971
2.2180 7.4418 1.6835
5.0853 4.1571 9.7237
2.2180 7.4418 6.3568
0.6492 3.5755 1.6835
3.5165 0.2908 14.3971
3.6434 2.5728 4.0201
0.7762 1.2935 12.0604
2.0911 5.1598 12.0604
4.9583 6.4391 4.0201
0.7409 1.3635 4.0201
3.6081 2.5028 12.0604
4.9936 6.3691 12.0604
2.1263 5.2298 4.0201
3.4127 2.5601 7.5030
0.5454 1.3062 8.5775
2.3218 5.1725 15.5432
5.1891 6.4264 0.5373
2.3218 5.1725 8.5775
5.1891 6.4264 7.5030
3.4127 2.5601 0.5373
0.5454 1.3062 15.5432
5.0005 0.9554 6.2248
2.1333 2.9109 9.8557
0.7340 6.7772 14.2651
3.6012 4.8217 1.8155
0.7340 6.7772 9.8557
3.6012 4.8217 6.2248
5.0005 0.9554 1.8155
2.1333 2.9109 14.2651